Zn3In3Pb: relaxed, PBE.

Lattice parameters (Å, degrees): 7.5257 7.5257 7.5257 90.00 90.00 90.00
Last column: nearest neighbours and their distance in Å.
Atoms (fractional coordinates):
Zn1 0.0000 0.2500 0.5000  4 In 2.66
Zn2 0.0000 0.7500 0.5000  4 In 2.66
Zn3 0.2500 0.5000 0.0000  4 In 2.66
Zn4 0.5000 0.0000 0.2500  4 In 2.66
Zn5 0.5000 0.0000 0.7500  4 In 2.66
Zn6 0.7500 0.5000 0.0000  4 In 2.66
In1 0.0000 0.5000 0.2500  4 Zn 2.66
In2 0.0000 0.5000 0.7500  4 Zn 2.66
In3 0.2500 0.0000 0.5000  4 Zn 2.66
In4 0.5000 0.2500 0.0000  4 Zn 2.66
In5 0.5000 0.7500 0.0000  4 Zn 2.66
In6 0.7500 0.0000 0.5000  4 Zn 2.66
Pb1 0.0000 0.0000 0.0000  12 In 4.21, 12 Zn 4.21
Pb2 0.5000 0.5000 0.5000  12 In 4.21, 12 Zn 4.21

## Properties
The value obtained for the theoretical density is 5.827 g/cm³. For the total DFT energy (no corrections), the calculation gives -1.8379 eV/atom. Its space-group type is Pm-3n, No. 223.